Entry 1:
Compound: Ga3Cu6Au
Source: Alexandria via LeMat-Bulk
Functional: GGA-PBE
Structure: relaxed

The space group is Cmc2_1 (No. 36) and the conventional cell measures 8.330, 14.374 and 4.715 Å, with angles of 90.00, 90.00 and 90.00 degrees. The inequivalent atoms are Ga at (0.000, 0.059, 0.000), Ga at (0.183, 0.378, 0.743), Cu at (0.000, 0.134, 0.477), Cu at (0.000, 0.495, 0.475), Cu at (0.168, 0.213, 0.871), Cu at (0.246, 0.049, 0.711) and Au at (0.000, 0.310, 0.271).

The density of states at the Fermi level comes out at 3.2 states/eV/f.u. The value obtained for the formation energy is -0.02 eV per atom.

Entry 2:
Compound: ErTm2Ni
Source: Alexandria via LeMat-Bulk
Functional: GGA-PBE
Structure: relaxed

The space group is Cmcm (No. 63) and the conventional cell measures 3.576, 11.836 and 9.444 Å, with angles of 90.00, 90.00 and 90.00 degrees. The inequivalent atoms are Er at (0.000, 0.081, 0.250), Tm at (0.000, 0.363, 0.070) and Ni at (0.000, 0.239, 0.750).

The density of states at the Fermi level comes out at 5.9 states/eV/f.u. The value obtained for the formation energy is -0.24 eV per atom. The polymorph energy (0 for the lowest one) is 0.035 eV/atom.